VASP calculation (PBE) on a relaxed structure of Pa3Te12Pd5.

Cell: 14.4891 14.4891 14.4891 Å, 109.47 109.47 109.47°
Closest atoms and distances in Å follow each position.
Element x y z (fractional)
1 Pd 0.0000 0.0000 0.5000  6 Te 2.74
2 Pd 0.2500 0.8750 0.1250  4 Te 2.62
3 Pd 0.0000 0.0000 0.0000  6 Te 2.74
4 Pd 0.7500 0.1250 0.8750  4 Te 2.62
5 Pd 0.6250 0.7500 0.8750  4 Te 2.62
6 Pd 0.5000 0.0000 0.0000  6 Te 2.74
7 Pd 0.8750 0.2500 0.6250  4 Te 2.62
8 Pd 0.7500 0.6250 0.3750  4 Te 2.62
9 Pd 0.1250 0.7500 0.3750  4 Te 2.62
10 Pd 0.6250 0.8750 0.2500  4 Te 2.62
11 Pd 0.2500 0.3750 0.6250  4 Te 2.62
12 Pd 0.0000 0.5000 0.5000  6 Te 2.74
13 Pd 0.8750 0.6250 0.7500  4 Te 2.62
14 Pd 0.1250 0.3750 0.2500  4 Te 2.62
15 Pd 0.3750 0.2500 0.1250  4 Te 2.62
16 Pd 0.5000 0.0000 0.5000  6 Te 2.74
17 Pd 0.5000 0.5000 0.5000  6 Te 2.74
18 Pd 0.5000 0.5000 0.0000  6 Te 2.74
19 Pd 0.0000 0.5000 0.0000  6 Te 2.74
20 Pd 0.3750 0.1250 0.7500  4 Te 2.62
21 Pa 0.1250 0.2500 0.8750  8 Te 3.17-3.18
22 Pa 0.1250 0.8750 0.7500  8 Te 3.17-3.18
23 Pa 0.7500 0.3750 0.1250  8 Te 3.17-3.18
24 Pa 0.6250 0.2500 0.3750  8 Te 3.17-3.18
25 Pa 0.3750 0.7500 0.6250  8 Te 3.17-3.18
26 Pa 0.8750 0.1250 0.2500  8 Te 3.17-3.18
27 Pa 0.6250 0.3750 0.7500  8 Te 3.17-3.18
28 Pa 0.2500 0.1250 0.3750  8 Te 3.17-3.18
29 Pa 0.7500 0.8750 0.6250  8 Te 3.17-3.18
30 Pa 0.2500 0.6250 0.8750  8 Te 3.17-3.18
31 Pa 0.3750 0.6250 0.2500  8 Te 3.17-3.18
32 Pa 0.8750 0.7500 0.1250  8 Te 3.17-3.18
33 Te 0.0403 0.4144 0.8276  2 Pd 2.62-2.74
34 Te 0.1724 0.0869 0.7127  2 Pd 2.62-2.74
35 Te 0.3276 0.5403 0.4144  2 Pd 2.62-2.74
36 Te 0.8742 0.2873 0.4597  2 Pd 2.62-2.74
37 Te 0.6258 0.5856 0.9131  2 Pd 2.62-2.74
38 Te 0.7127 0.5869 0.1724  2 Pd 2.62-2.74
39 Te 0.2127 0.5403 0.6258  2 Pd 2.62-2.74
40 Te 0.0403 0.6258 0.7127  2 Pd 2.62-2.74
41 Te 0.6258 0.0403 0.2127  2 Pd 2.62-2.74
42 Te 0.0869 0.1724 0.2127  2 Pd 2.62-2.74
43 Te 0.9144 0.0869 0.8742  2 Pd 2.62-2.74
44 Te 0.1258 0.7127 0.5403  2 Pd 2.62-2.74
45 Te 0.9144 0.8276 0.5403  2 Pd 2.62-2.74
46 Te 0.1258 0.4131 0.0856  2 Pd 2.62-2.74
47 Te 0.7127 0.1258 0.0403  2 Pd 2.62-2.74
48 Te 0.5869 0.7127 0.6724  2 Pd 2.62-2.74
49 Te 0.5403 0.3276 0.9144  2 Pd 2.62-2.74
50 Te 0.6724 0.2127 0.5869  2 Pd 2.62-2.74
51 Te 0.2127 0.6724 0.0869  2 Pd 2.62-2.74
52 Te 0.5403 0.2127 0.1258  2 Pd 2.62-2.74
53 Te 0.4144 0.3742 0.5869  2 Pd 2.62-2.74
54 Te 0.2873 0.4131 0.8276  2 Pd 2.62-2.74
55 Te 0.2873 0.8742 0.9597  2 Pd 2.62-2.74
56 Te 0.0856 0.1724 0.4597  2 Pd 2.62-2.74
57 Te 0.1724 0.0856 0.9597  2 Pd 2.62-2.74
58 Te 0.7873 0.4597 0.3742  2 Pd 2.62-2.74
59 Te 0.6724 0.4597 0.5856  2 Pd 2.62-2.74
60 Te 0.0869 0.9144 0.3742  2 Pd 2.62-2.74
61 Te 0.7873 0.3276 0.9131  2 Pd 2.62-2.74
62 Te 0.4131 0.1258 0.5856  2 Pd 2.62-2.74
63 Te 0.8276 0.9144 0.0403  2 Pd 2.62-2.74
64 Te 0.4597 0.7873 0.8742  2 Pd 2.62-2.74
65 Te 0.4144 0.0403 0.3276  2 Pd 2.62-2.74
66 Te 0.5856 0.9597 0.6724  2 Pd 2.62-2.74
67 Te 0.3276 0.7873 0.4131  2 Pd 2.62-2.74
68 Te 0.8742 0.5869 0.9144  2 Pd 2.62-2.74
69 Te 0.8276 0.9131 0.2873  2 Pd 2.62-2.74
70 Te 0.0856 0.9131 0.1258  2 Pd 2.62-2.74
71 Te 0.4131 0.2873 0.3276  2 Pd 2.62-2.74
72 Te 0.9131 0.8276 0.7873  2 Pd 2.62-2.74
73 Te 0.3742 0.4144 0.0869  2 Pd 2.62-2.74
74 Te 0.9597 0.3742 0.2873  2 Pd 2.62-2.74
75 Te 0.5869 0.8742 0.4144  2 Pd 2.62-2.74
76 Te 0.3742 0.9597 0.7873  2 Pd 2.62-2.74
77 Te 0.9131 0.0856 0.6258  2 Pd 2.62-2.74
78 Te 0.5856 0.6258 0.4131  2 Pd 2.62-2.74
79 Te 0.4597 0.6724 0.0856  2 Pd 2.62-2.74
80 Te 0.9597 0.5856 0.1724  2 Pd 2.62-2.74

Computed properties:
* E_form (uncorrected): -0.49 eV/atom
* space group: No. 230